Entry 1:
Density functional theory data (PBE-GGA) for a relaxed structure of Ba2HfNi.

a b c (Å): 5.3967 5.3967 5.3967
angles (deg): 60.00 60.00 60.00
Last column: nearest neighbours and their distance in Å.
Positions (direct):
Ba (0.0000, 0.0000, 0.0000)  4 Hf 3.30, 4 Ba 3.30
Ba (0.2500, 0.2500, 0.2500)  4 Ni 3.30, 4 Ba 3.30
Hf (0.7500, 0.7500, 0.7500)  4 Ni 3.30, 4 Ba 3.30
Ni (0.5000, 0.5000, 0.5000)  4 Hf 3.30, 4 Ba 3.30

Calculated values
SG: F-43m (216)
final energy: -4.0014 eV/atom

Entry 2:
Density functional theory data (PBE-GGA) for a relaxed structure of Ho2Hg2As.

a b c (Å): 4.7325 4.7325 12.9631
angles (deg): 90.00 90.00 120.00
Last column: nearest neighbours and their distance in Å.
Positions (direct):
Ho (0.3333, 0.6667, 0.1119)  6 Hg 3.09-3.27, 3 As 3.27
Ho (0.3333, 0.6667, 0.3881)  6 Hg 3.09-3.27, 3 As 3.27
Ho (0.6667, 0.3333, 0.6119)  6 Hg 3.09-3.27, 3 As 3.27
Ho (0.6667, 0.3333, 0.8881)  6 Hg 3.09-3.27, 3 As 3.27
Hg (0.0000, 0.0000, 0.0000)  6 Ho 3.09, 2 As 3.24
Hg (0.0000, 0.0000, 0.5000)  6 Ho 3.09, 2 As 3.24
Hg (0.3333, 0.6667, 0.7500)  3 As 2.73
Hg (0.6667, 0.3333, 0.2500)  3 As 2.73
As (0.0000, 0.0000, 0.2500)  3 Hg 2.73
As (0.0000, 0.0000, 0.7500)  3 Hg 2.73

Calculated values
SG: P6_3/mmc (194)
final energy: -3.2170 eV/atom

Entry 3:
Density functional theory data (PBE-GGA) for a relaxed structure of Be2CdTc.

a b c (Å): 4.2365 4.2365 4.2365
angles (deg): 60.00 60.00 60.00
Last column: nearest neighbours and their distance in Å.
Positions (direct):
Be (0.0000, 0.0000, 0.0000)  4 Cd 2.59, 4 Be 2.59
Be (0.2500, 0.2500, 0.2500)  4 Tc 2.59, 4 Be 2.59
Cd (0.7500, 0.7500, 0.7500)  4 Tc 2.59, 4 Be 2.59
Tc (0.5000, 0.5000, 0.5000)  4 Cd 2.59, 4 Be 2.59

Calculated values
SG: F-43m (216)
final energy: -4.1003 eV/atom

Entry 4:
Density functional theory data (PBE-GGA) for a relaxed structure of NaLuO2.

a b c (Å): 7.2177 7.2177 5.7559
angles (deg): 104.21 104.21 126.38
Last column: nearest neighbours and their distance in Å.
Positions (direct):
Na (0.0559, 0.9441, 0.7500)  6 O 2.37-2.62
Na (0.1799, 0.8201, 0.2500)  6 O 2.35-2.61
Na (0.8201, 0.1799, 0.7500)  6 O 2.35-2.61
Na (0.9441, 0.0559, 0.2500)  6 O 2.37-2.62
Lu (0.3067, 0.6933, 0.7500)  6 O 2.23-2.25
Lu (0.4327, 0.5673, 0.2500)  6 O 2.22-2.26
Lu (0.5673, 0.4327, 0.7500)  6 O 2.22-2.26
Lu (0.6933, 0.3067, 0.2500)  6 O 2.23-2.25
O (0.0818, 0.4582, 0.2892)  3 Lu 2.23-2.26, 2 Na 2.36-2.37
O (0.2320, 0.3586, 0.7909)  3 Lu 2.22-2.24, 2 Na 2.35-2.37
O (0.3586, 0.2320, 0.2909)  3 Lu 2.22-2.24, 2 Na 2.35-2.37
O (0.4582, 0.0818, 0.7892)  3 Lu 2.23-2.26, 2 Na 2.36-2.37
O (0.5418, 0.9182, 0.2108)  3 Lu 2.23-2.26, 2 Na 2.36-2.37
O (0.6414, 0.7680, 0.7091)  3 Lu 2.22-2.24, 2 Na 2.35-2.37
O (0.7680, 0.6414, 0.2091)  3 Lu 2.22-2.24, 2 Na 2.35-2.37
O (0.9182, 0.5418, 0.7108)  3 Lu 2.23-2.26, 2 Na 2.36-2.37

Calculated values
SG: C2/c (15)
final energy: -6.8266 eV/atom

Entry 5:
Density functional theory data (PBE-GGA) for a relaxed structure of LaPmSe2Cl2.

a b c (Å): 5.2131 5.2131 6.8113
angles (deg): 90.00 90.00 90.00
Last column: nearest neighbours and their distance in Å.
Positions (direct):
La (0.0000, 0.0000, 0.0000)  1 Cl 2.69, 4 Se 2.97
Pm (0.5000, 0.5000, 0.6016)  1 Cl 2.65, 4 Se 2.91
Se (0.0000, 0.5000, 0.7923)  2 Pm 2.91, 2 La 2.97
Se (0.5000, 0.0000, 0.7923)  2 Pm 2.91, 2 La 2.97
Cl (0.0000, 0.0000, 0.3952)  1 La 2.69
Cl (0.5000, 0.5000, 0.2132)  1 Pm 2.65

Calculated values
SG: P4mm (99)
final energy: -5.4053 eV/atom

Entry 6:
Density functional theory data (PBE-GGA) for a relaxed structure of MgFeSiSn.

a b c (Å): 4.5553 4.5553 4.5553
angles (deg): 60.00 60.00 60.00
Last column: nearest neighbours and their distance in Å.
Positions (direct):
Mg (0.0000, 0.0000, 0.0000)  4 Sn 2.79, 4 Si 2.79
Fe (0.5000, 0.5000, 0.5000)  4 Sn 2.79, 4 Si 2.79
Si (0.2500, 0.2500, 0.2500)  4 Fe 2.79, 4 Mg 2.79
Sn (0.7500, 0.7500, 0.7500)  4 Fe 2.79, 4 Mg 2.79

Calculated values
SG: F-43m (216)
final energy: -4.5047 eV/atom